DFT (PBE) results for a relaxed structure of Sm3Lu.

It has space group Pmm2 (No. 25), with a = 3.6497 Å, b = 5.7397 Å, c = 6.2999 Å, α = 90.00°, β = 90.00° and γ = 90.00°. The asymmetric unit holds Sm at (0.0000, 0.0000, 0.0000), Sm at (0.0000, 0.5000, 0.3357), Sm at (0.5000, 0.5000, 0.8348) and Lu at (0.5000, 0.0000, 0.5025).

The value obtained for the energy of formation is 28 meV per atom. For the mass density, the calculation gives 7.88 g/cm3. The spin magnetization comes out at 0.0 μB per formula unit. The calculation puts the calculated volume at 32.993 Å³/atom.



DFT (PBE) results for a relaxed structure of Sm3Lu.

It has space group Fm-3m (No. 225), with a = 8.0776 Å, b = 8.0776 Å, c = 8.0776 Å, α = 90.00°, β = 90.00° and γ = 90.00°. The asymmetric unit holds Sm at (0.0000, 0.0000, 0.0000), Sm at (0.2500, 0.2500, 0.2500) and Lu at (0.0000, 0.0000, 0.5000).

The value obtained for the energy of formation is 134 meV per atom. For the mass density, the calculation gives 7.89 g/cm3. The spin magnetization comes out at 0.0 μB per formula unit. The calculation puts the calculated volume at 32.940 Å³/atom.



DFT (PBE) results for a relaxed structure of SmLuSn.

It has space group I4mm (No. 107), with a = 3.5513 Å, b = 3.5513 Å, c = 13.6781 Å, α = 90.00°, β = 90.00° and γ = 90.00°. The asymmetric unit holds Sm at (0.0000, 0.0000, 0.0000), Lu at (0.0000, 0.0000, 0.6900) and Sn at (0.0000, 0.0000, 0.3396).

The value obtained for the energy of formation is -410 meV per atom. For the mass density, the calculation gives 8.55 g/cm3. The spin magnetization comes out at 0.0 μB per formula unit. The calculation puts the calculated volume at 28.751 Å³/atom.